[1]
# Sb8Pd3Au | Alexandria | SCAN | single point on PBEsol structure
# **V**: 22.9 Å³/atom
# **Density of states at the Fermi level**: 0.27 states/eV per atom
# **Calculated density**: 8989 kg/m³
# **Total DFT energy (no corrections)**: -469.83 eV per cell
data_Sb8Pd3Au
_symmetry_space_group_name_H-M 'P 1'
_symmetry_Int_Tables_number 1
_symmetry_space_group_name_Hall 'P 1'
_cell_length_a 6.506
_cell_length_b 6.506
_cell_length_c 6.506
_cell_angle_alpha 89.81
_cell_angle_beta 89.81
_cell_angle_gamma 89.81
loop_
_atom_site_label
_atom_site_fract_x
_atom_site_fract_y
_atom_site_fract_z
Sb1 0.369 0.881 0.631
Sb2 0.631 0.119 0.369
Sb3 0.119 0.369 0.631
Pd1 0.000 0.000 0.500
Sb4 0.873 0.873 0.873
Sb5 0.631 0.369 0.881
Pd2 0.500 0.000 0.000
Sb6 0.881 0.631 0.369
Sb7 0.369 0.631 0.119
Au1 0.500 0.500 0.500
Pd3 0.000 0.500 0.000
Sb8 0.127 0.127 0.127

[2]
# Sc2PdAu | Alexandria | SCAN | single point on PBEsol structure
# **V**: 18.1 Å³/atom
# **Density of states at the Fermi level**: 0.60 states/eV per atom
# **Calculated density**: 9022 kg/m³
# **Total DFT energy (no corrections)**: -134.55 eV per cell
# **Energy of formation from the pure elements**: -1036 meV/atom
data_Sc2PdAu
_symmetry_space_group_name_H-M 'P 1'
_symmetry_Int_Tables_number 1
_symmetry_space_group_name_Hall 'P 1'
_cell_length_a 4.678
_cell_length_b 4.678
_cell_length_c 4.678
_cell_angle_alpha 60.00
_cell_angle_beta 60.00
_cell_angle_gamma 60.00
loop_
_atom_site_label
_atom_site_fract_x
_atom_site_fract_y
_atom_site_fract_z
Au1 0.500 0.500 0.500
Sc1 0.250 0.250 0.250
Sc2 0.750 0.750 0.750
Pd1 0.000 0.000 0.000